Compound: SrAl2Ga
Source: Alexandria
Functional: GGA-PBE
Structure: relaxed

Cell: 4.4081 4.4081 17.8194 Å, 90.00 90.00 120.00°
With the nearest neighbours (Å) after each atom.
Positions (direct):
Sr 0.0000 0.0000 0.0000  8 Al 3.36-3.74
Sr 0.3333 0.6667 0.6667  8 Al 3.36-3.74
Sr 0.6667 0.3333 0.3333  8 Al 3.36-3.74
Al 0.0000 0.0000 0.2100  3 Ga 2.66, 3 Al 2.98
Al 0.0000 0.0000 0.7900  3 Ga 2.66, 3 Al 2.98
Al 0.3333 0.6667 0.4566  3 Ga 2.66, 3 Al 2.98
Al 0.3333 0.6667 0.8767  3 Ga 2.66, 3 Al 2.98
Al 0.6667 0.3333 0.1233  3 Ga 2.66, 3 Al 2.98
Al 0.6667 0.3333 0.5434  3 Ga 2.66, 3 Al 2.98
Ga 0.0000 0.0000 0.5000  6 Al 2.66
Ga 0.3333 0.6667 0.1667  6 Al 2.66
Ga 0.6667 0.3333 0.8333  6 Al 2.66

Output
- Formation energy from the elements: -0.173 eV/atom
- V: 24.989 A^3/atom

Compound: PrDy2WN4
Source: Alexandria
Functional: GGA-PBE
Structure: relaxed

Cell: 6.2179 6.2179 12.0004 Å, 90.00 90.00 147.91°
With the nearest neighbours (Å) after each atom.
Positions (direct):
Pr 0.0874 0.9126 0.7500  2 N 2.57
Pr 0.9126 0.0874 0.2500  2 N 2.57
Dy 0.3707 0.6293 0.5382  5 N 2.30-2.54
Dy 0.3707 0.6293 0.9618  5 N 2.30-2.54
Dy 0.6293 0.3707 0.0382  5 N 2.30-2.54
Dy 0.6293 0.3707 0.4618  5 N 2.30-2.54
W 0.1702 0.8298 0.2500  4 N 1.91-2.08
W 0.8298 0.1702 0.7500  4 N 1.91-2.08
N 0.0000 0.0000 0.0000  4 Dy 2.36
N 0.0000 0.0000 0.5000  4 Dy 2.36
N 0.2624 0.7376 0.1201  1 W 1.91
N 0.2624 0.7376 0.3799  1 W 1.91
N 0.4277 0.5723 0.7500  2 W 2.08
N 0.5723 0.4277 0.2500  2 W 2.08
N 0.7376 0.2624 0.6201  1 W 1.91
N 0.7376 0.2624 0.8799  1 W 1.91

Output
- E_form (uncorrected): -1.112 eV/atom
- V: 15.405 A^3/atom

Compound: TlCdTe
Source: Alexandria
Functional: GGA-PBE
Structure: relaxed

Cell: 4.5035 4.5035 5.5022 Å, 90.00 90.00 120.00°
With the nearest neighbours (Å) after each atom.
Positions (direct):
Tl 0.0000 0.0000 0.0000  3 Cd 3.26, 3 Te 3.38
Cd 0.6667 0.3333 0.3588  3 Te 2.94, 3 Tl 3.26
Te 0.3333 0.6667 0.6070  3 Cd 2.94

Output
- E_form (uncorrected): -0.185 eV/atom
- Energy above the most stable polymorph in this dataset: 0.11 eV/f.u.
- V: 32.218 A^3/atom

What did the third record say?
Compound: TlCdTe
Source: Alexandria
Functional: GGA-PBE
Structure: relaxed

Cell: 4.5035 4.5035 5.5022 Å, 90.00 90.00 120.00°
With the nearest neighbours (Å) after each atom.
Positions (direct):
Tl 0.0000 0.0000 0.0000  3 Cd 3.26, 3 Te 3.38
Cd 0.6667 0.3333 0.3588  3 Te 2.94, 3 Tl 3.26
Te 0.3333 0.6667 0.6070  3 Cd 2.94

Output
- E_form (uncorrected): -0.185 eV/atom
- Energy above the most stable polymorph in this dataset: 0.11 eV/f.u.
- V: 32.218 A^3/atom